Crystalline LaCr2Ni2 at its relaxed geometry, computed with GGA-PBE.

a = 3.5591 Å, b = 3.5591 Å, c = 12.3227 Å
α = 90.00°, β = 90.00°, γ = 90.00°
Last column: nearest neighbours and their distance in Å.
Space group I4/mmm (No. 139)
Asymmetric unit:
La 0.0000 0.0000 0.0000  8 Ni 2.86
Cr 0.0000 0.5000 0.2500  4 Ni 2.48, 4 Cr 2.52
Ni 0.0000 0.0000 0.3903  4 Cr 2.48, 1 Ni 2.70

Properties
Magnetization   0.000 μB/atom
DOS(E_F)   1.529 states/eV/atom
Formation energy from the elements   222 meV/atom
Total DFT energy (no corrections)   -6.9253 eV per atom
Relative energy among the computed polymorphs   0.000 eV per atom
V   78.0 Å³/f.u.